Entry 1:
First-principles (meta-GGA SCAN) data for a PBEsol-optimized structure of Rb3AgMo, as listed in Alexandria.

a b c (Å): 6.5280 6.5280 6.5280
angles (deg): 90.00 90.00 90.00
With the nearest neighbours (Å) after each atom.
Element x y z (fractional)
1 Rb 0.0000 0.0000 0.5000  2 Ag 3.26
2 Rb 0.0000 0.5000 0.0000  2 Ag 3.26
3 Rb 0.5000 0.0000 0.0000  2 Ag 3.26
4 Ag 0.0000 0.0000 0.0000  6 Rb 3.26
5 Mo 0.5000 0.5000 0.5000  12 Rb 4.62

## Properties
energy: -123.4 eV/f.u.
space group: No. 221

---

Entry 2:
First-principles (meta-GGA SCAN) data for a PBEsol-optimized structure of ReAgMo2, as listed in Alexandria.

a b c (Å): 2.6794 2.6794 9.0652
angles (deg): 90.00 90.00 108.21
With the nearest neighbours (Å) after each atom.
Element x y z (fractional)
1 Re 0.0000 0.0000 0.0000  4 Mo 2.67, 4 Re 2.68
2 Ag 0.0000 0.0000 0.5000  4 Ag 2.68, 4 Mo 2.85
3 Mo 0.5000 0.5000 0.2377  2 Re 2.67, 4 Mo 2.68, 2 Ag 2.85
4 Mo 0.5000 0.5000 0.7623  2 Re 2.67, 4 Mo 2.68, 2 Ag 2.85

## Properties
relative energy among the computed polymorphs: 0.0 meV/atom
space group: No. 65

---

Entry 3:
First-principles (meta-GGA SCAN) data for a PBEsol-optimized structure of Re2AgMo, as listed in Alexandria.

a b c (Å): 4.8064 4.8064 4.8064
angles (deg): 132.06 132.06 70.13
With the nearest neighbours (Å) after each atom.
Element x y z (fractional)
1 Re 0.2500 0.7500 0.5000  4 Re 2.76, 4 Mo 2.77, 4 Ag 2.77
2 Re 0.7500 0.2500 0.5000  4 Re 2.76, 4 Mo 2.77, 4 Ag 2.77
3 Ag 0.0000 0.0000 0.0000  4 Mo 2.76, 8 Re 2.77
4 Mo 0.5000 0.5000 0.0000  4 Ag 2.76, 8 Re 2.77

## Properties
relative energy among the computed polymorphs: 126.8 meV/atom
space group: No. 139

---

Entry 4:
First-principles (meta-GGA SCAN) data for a PBEsol-optimized structure of ReAg2Mo, as listed in Alexandria.

a b c (Å): 5.1746 5.1746 5.1746
angles (deg): 143.64 127.08 65.91
With the nearest neighbours (Å) after each atom.
Element x y z (fractional)
1 Re 0.0000 0.0000 0.0000  2 Mo 2.41
2 Ag 0.2655 0.7655 0.5000  2 Ag 2.76, 4 Re 2.81-3.08, 4 Mo 2.83
3 Ag 0.5239 0.5239 0.0000  2 Ag 2.76, 4 Re 2.82, 4 Mo 2.85-3.05
4 Mo 0.7947 0.2947 0.5000  2 Re 2.41

## Properties
relative energy among the computed polymorphs: 117.8 meV/atom
space group: No. 44

---

Entry 5:
First-principles (meta-GGA SCAN) data for a PBEsol-optimized structure of ReAg2Mo, as listed in Alexandria.

a b c (Å): 2.6590 4.1115 5.7149
angles (deg): 90.00 90.00 90.00
With the nearest neighbours (Å) after each atom.
Element x y z (fractional)
1 Re 0.0000 0.0000 0.0000  2 Re 2.66, 4 Mo 2.74, 6 Ag 2.80-2.91
2 Ag 0.0000 0.0000 0.5095  6 Ag 2.66-2.80, 2 Re 2.80-2.91, 4 Mo 2.91
3 Ag 0.5000 0.5000 0.2726  6 Ag 2.66-2.80, 2 Mo 2.79-2.93, 4 Re 2.90
4 Mo 0.5000 0.5000 0.7849  2 Mo 2.66, 4 Re 2.74, 6 Ag 2.79-2.93

## Properties
relative energy among the computed polymorphs: 0.0 meV/atom
space group: No. 25

---

Entry 6:
First-principles (meta-GGA SCAN) data for a PBEsol-optimized structure of Re2AgMo, as listed in Alexandria.

a b c (Å): 2.6633 2.6633 9.2250
angles (deg): 90.00 90.00 110.23
With the nearest neighbours (Å) after each atom.
Element x y z (fractional)
1 Re 0.0000 0.0000 0.0000  6 Re 2.66, 2 Ag 2.87
2 Re 0.5000 0.5000 0.2359  6 Re 2.66, 2 Mo 2.67
3 Ag 0.5000 0.5000 0.7367  4 Ag 2.66, 2 Mo 2.86, 2 Re 2.87
4 Mo 0.0000 0.0000 0.4739  4 Mo 2.66, 2 Re 2.67, 2 Ag 2.86

## Properties
relative energy among the computed polymorphs: 0.0 meV/atom
space group: No. 35

---

Entry 7:
First-principles (meta-GGA SCAN) data for a PBEsol-optimized structure of ReAgMo2, as listed in Alexandria.

a b c (Å): 4.8327 4.8327 4.9965
angles (deg): 96.88 96.88 31.95
With the nearest neighbours (Å) after each atom.
Element x y z (fractional)
1 Re 0.0000 0.0000 0.0000  2 Re 2.66, 7 Mo 2.74-2.83, 3 Ag 2.80-2.83
2 Ag 0.2513 0.2513 0.7424  2 Ag 2.66, 7 Mo 2.75-2.84, 3 Re 2.80-2.83
3 Mo 0.5011 0.5011 0.5007  5 Mo 2.66-2.86, 3 Ag 2.75-2.82, 4 Re 2.83
4 Mo 0.7498 0.7498 0.2388  5 Mo 2.66-2.86, 3 Re 2.74-2.81, 4 Ag 2.82-2.84

## Properties
relative energy among the computed polymorphs: 195.8 meV/atom
space group: No. 8

---

Entry 8:
First-principles (meta-GGA SCAN) data for a PBEsol-optimized structure of Re2AgMo, as listed in Alexandria.

a b c (Å): 4.8468 4.8468 4.7643
angles (deg): 100.73 100.73 33.49
With the nearest neighbours (Å) after each atom.
Element x y z (fractional)
1 Re 0.0000 0.0000 0.0000  4 Mo 2.66-2.87, 5 Re 2.66-2.82, 3 Ag 2.82-2.85
2 Re 0.7395 0.7395 0.2202  5 Re 2.66-2.82, 3 Mo 2.74-2.84, 4 Ag 2.74-2.78
3 Ag 0.2432 0.2432 0.7258  7 Re 2.74-2.85, 3 Mo 2.76-2.84, 2 Ag 2.79
4 Mo 0.4853 0.4853 0.4679  7 Re 2.66-2.87, 3 Ag 2.76-2.84, 2 Mo 2.79

## Properties
relative energy among the computed polymorphs: 92.9 meV/atom
space group: No. 8